No. 1
A geometry-optimized MgIn2As structure, computed with PBE-GGA.

space-group type: Cm, No. 8
volume: 100 Å³ per cell
E_tot: -3.061 eV/atom
DOS(E_F): 0.72 states/eV/f.u.
ΔE to the lowest computed polymorph: 0.00 eV per formula unit

The structure in POSCAR format:
```
MgIn2As
1.0
5.003 -0.005 -0.073
3.479 3.596 -0.073
1.898 0.803 5.533
As In Mg
1 2 1
direct
0.740 0.740 0.601
0.048 0.048 0.002
0.276 0.276 0.238
0.435 0.435 0.659
```

---

No. 2
A geometry-optimized MgIn2As structure, computed with PBE-GGA.

space-group type: F-43m, No. 216
volume: 95 Å³ per cell
E_tot: -2.902 eV/atom
DOS(E_F): 2.31 states/eV/f.u.
ΔE to the lowest computed polymorph: 0.63 eV per formula unit

The structure in POSCAR format:
```
MgIn2As
1.0
-0.246 -1.528 -4.890
4.241 -0.061 -2.884
2.087 -4.472 -1.398
In As Mg
2 1 1
direct
0.750 0.750 0.750
0.000 0.000 0.000
0.500 0.500 0.500
0.250 0.250 0.250
```

---

No. 3
A geometry-optimized MgInAs2 structure, computed with PBE-GGA.

space-group type: C2/m, No. 12
volume: 89 Å³ per cell
E_tot: -3.571 eV/atom
DOS(E_F): 2.40 states/eV/f.u.

The structure in POSCAR format:
```
MgInAs2
1.0
4.029 -0.132 0.058
2.136 3.419 0.058
2.007 1.070 6.383
In Mg As
1 1 2
direct
0.250 0.250 0.250
0.750 0.750 0.750
0.505 0.505 0.507
0.995 0.995 0.993
```

---

No. 4
A geometry-optimized Mg2InAs4 structure, computed with PBE-GGA.

space-group type: I4/mmm, No. 139
volume: 189 Å³ per cell
E_tot: -3.132 eV/atom
DOS(E_F): 7.50 states/eV/f.u.

The structure in POSCAR format:
```
Mg2InAs4
1.0
5.053 0.000 0.000
0.000 5.053 0.000
2.527 2.527 7.410
Mg In As
2 1 4
direct
0.398 0.398 0.204
0.602 0.602 0.796
0.000 0.000 0.000
0.500 0.000 0.000
0.224 0.224 0.552
0.000 0.500 0.000
0.776 0.776 0.448
```

---

No. 5
A geometry-optimized MgInAs2 structure, computed with PBE-GGA.

space-group type: R3m, No. 160
volume: 91 Å³ per cell
E_tot: -3.265 eV/atom
DOS(E_F): 0.85 states/eV/f.u.

The structure in POSCAR format:
```
MgInAs2
1.0
10.220 0.040 0.023
9.697 3.225 0.023
9.697 1.589 2.806
As In Mg
2 1 1
direct
0.015 0.015 0.015
0.240 0.240 0.240
0.498 0.498 0.498
0.748 0.748 0.748
```

---

No. 6
A geometry-optimized MgIn2As structure, computed with PBE-GGA.

space-group type: Fm-3m, No. 225
volume: 98 Å³ per cell
E_tot: -2.846 eV/atom
DOS(E_F): 3.06 states/eV/f.u.
ΔE to the lowest computed polymorph: 0.86 eV per formula unit

The structure in POSCAR format:
```
MgIn2As
1.0
-3.870 2.030 2.769
-3.911 2.399 -2.391
-4.689 -2.183 -0.119
In Mg As
2 1 1
direct
0.250 0.250 0.250
0.750 0.750 0.750
0.000 0.000 0.000
0.500 0.500 0.500
```

---

No. 7
A geometry-optimized MgIn2As structure, computed with PBE-GGA.

space-group type: Pm, No. 6
volume: 97 Å³ per cell
E_tot: -3.030 eV/atom
DOS(E_F): 1.15 states/eV/f.u.
ΔE to the lowest computed polymorph: 0.12 eV per formula unit

The structure in POSCAR format:
```
MgIn2As
1.0
-3.237 -1.744 1.525
1.653 -0.825 2.565
-0.972 6.126 4.941
As In Mg
1 2 1
direct
0.500 0.958 0.695
0.500 0.194 0.273
0.000 0.804 0.988
0.000 0.544 0.544
```

---

No. 8
A geometry-optimized MgInAs2 structure, computed with PBE-GGA.

space-group type: P4/mmm, No. 123
volume: 85 Å³ per cell
E_tot: -3.413 eV/atom
DOS(E_F): 1.36 states/eV/f.u.

The structure in POSCAR format:
```
MgInAs2
1.0
5.077 0.000 0.000
0.000 5.077 0.000
0.000 0.000 3.289
Mg As In
1 2 1
direct
0.000 0.500 0.500
0.000 0.000 0.000
0.500 0.500 0.000
0.500 0.000 0.500
```

---

No. 9
A geometry-optimized MgInAs structure, computed with PBE-GGA.

space-group type: R-3m, No. 166
volume: 158 Å³ per cell
E_tot: -3.302 eV/atom
DOS(E_F): 0.33 states/eV/f.u.
ΔE to the lowest computed polymorph: 0.00 eV per formula unit

The structure in POSCAR format:
```
MgInAs
1.0
-3.075 -2.691 1.567
-0.842 -3.782 -2.035
5.254 -6.516 5.230
In As Mg
2 2 2
direct
0.874 0.874 0.377
0.126 0.126 0.623
0.729 0.729 0.812
0.271 0.271 0.188
0.633 0.633 0.102
0.367 0.367 0.898
```

---

No. 10
A geometry-optimized MgIn2As structure, computed with PBE-GGA.

space-group type: Cmmm, No. 65
volume: 95 Å³ per cell
E_tot: -2.936 eV/atom
DOS(E_F): 0.83 states/eV/f.u.
ΔE to the lowest computed polymorph: 0.50 eV per formula unit

The structure in POSCAR format:
```
MgIn2As
1.0
-0.916 2.606 4.065
3.473 -3.255 1.224
2.898 2.689 -1.071
As In Mg
1 2 1
direct
0.000 0.500 0.500
0.000 0.000 0.000
0.500 0.500 0.000
0.500 0.000 0.500
```

---

No. 11
A geometry-optimized MgInAs structure, computed with PBE-GGA.

space-group type: F-43m, No. 216
volume: 75 Å³ per cell
E_tot: -3.090 eV/atom
DOS(E_F): 0.18 states/eV/f.u.
ΔE to the lowest computed polymorph: 0.63 eV per formula unit

The structure in POSCAR format:
```
MgInAs
1.0
-1.470 -4.281 -1.366
2.353 -3.860 1.383
-1.938 -2.949 3.146
In Mg As
1 1 1
direct
0.500 0.500 0.500
0.750 0.750 0.750
0.000 0.000 0.000
```

---

No. 12
A geometry-optimized MgInAs2 structure, computed with PBE-GGA.

space-group type: Immm, No. 71
volume: 86 Å³ per cell
E_tot: -3.402 eV/atom
DOS(E_F): 1.60 states/eV/f.u.

The structure in POSCAR format:
```
MgInAs2
1.0
-3.767 2.771 2.260
-1.260 -3.138 3.942
4.463 2.258 -1.397
In As Mg
1 2 1
direct
0.750 0.250 0.500
0.013 0.013 0.000
0.487 0.487 0.000
0.250 0.750 0.500
```

---

No. 13
A geometry-optimized MgInAs2 structure, computed with PBE-GGA.

space-group type: Pmm2, No. 25
volume: 89 Å³ per cell
E_tot: -3.571 eV/atom
DOS(E_F): 2.47 states/eV/f.u.

The structure in POSCAR format:
```
MgInAs2
1.0
-0.787 5.474 -0.207
-2.218 -0.450 -3.465
-3.222 -0.383 2.112
As Mg In
2 1 1
direct
0.000 0.940 0.875
0.500 0.300 0.375
0.500 0.808 0.875
0.000 0.452 0.375
```

---

No. 14
A geometry-optimized MgInAs2 structure, computed with PBE-GGA.

space-group type: I-4m2, No. 119
volume: 86 Å³ per cell
E_tot: -3.407 eV/atom
DOS(E_F): 2.16 states/eV/f.u.

The structure in POSCAR format:
```
MgInAs2
1.0
6.058 -0.031 0.000
3.417 5.002 0.000
-4.737 -2.486 2.841
In As Mg
1 2 1
direct
0.500 0.500 0.000
0.000 0.000 0.000
0.250 0.750 0.500
0.750 0.250 0.500
```

---

No. 15
A geometry-optimized MgInAs structure, computed with PBE-GGA.

space-group type: P3m1, No. 156
volume: 74 Å³ per cell
E_tot: -3.212 eV/atom
DOS(E_F): 0.54 states/eV/f.u.
ΔE to the lowest computed polymorph: 0.27 eV per formula unit

The structure in POSCAR format:
```
MgInAs
1.0
4.101 0.000 0.000
-2.050 3.551 0.000
0.000 0.000 5.088
As Mg In
1 1 1
direct
0.000 0.000 0.979
0.333 0.667 0.732
0.667 0.333 0.288
```

---

No. 16
A geometry-optimized MgIn2As2 structure, computed with PBE-GGA.

space-group type: P4/mbm, No. 127
volume: 235 Å³ per cell
E_tot: -3.333 eV/atom
DOS(E_F): 1.90 states/eV/f.u.
ΔE to the lowest computed polymorph: 0.00 eV per formula unit

The structure in POSCAR format:
```
MgIn2As2
1.0
7.620 0.000 0.000
0.000 7.620 0.000
0.000 0.000 4.049
As In Mg
4 4 2
direct
0.325 0.825 0.000
0.825 0.675 0.000
0.675 0.175 0.000
0.175 0.325 0.000
0.642 0.858 0.500
0.358 0.142 0.500
0.858 0.358 0.500
0.142 0.642 0.500
0.500 0.500 0.000
0.000 0.000 0.000
```

---

No. 17
A geometry-optimized MgIn2As structure, computed with PBE-GGA.

space-group type: P4/mmm, No. 123
volume: 94 Å³ per cell
E_tot: -2.967 eV/atom
DOS(E_F): 1.90 states/eV/f.u.
ΔE to the lowest computed polymorph: 0.38 eV per formula unit

The structure in POSCAR format:
```
MgIn2As
1.0
5.101 0.000 0.000
0.000 4.304 0.000
0.000 0.000 4.304
In As Mg
2 1 1
direct
0.000 0.000 0.000
0.000 0.500 0.500
0.500 0.000 0.500
0.500 0.500 0.000
```

---

No. 18
A geometry-optimized MgInAs2 structure, computed with PBE-GGA.

space-group type: R-3m, No. 166
volume: 88 Å³ per cell
E_tot: -3.410 eV/atom
DOS(E_F): 0.72 states/eV/f.u.

The structure in POSCAR format:
```
MgInAs2
1.0
-6.450 7.248 2.676
-8.411 4.721 2.872
-6.528 5.483 5.350
As In Mg
2 1 1
direct
0.487 0.487 0.487
0.013 0.013 0.013
0.250 0.250 0.250
0.750 0.750 0.750
```

---

No. 19
A geometry-optimized MgInAs2 structure, computed with PBE-GGA.

space-group type: Fm-3m, No. 225
volume: 85 Å³ per cell
E_tot: -3.362 eV/atom
DOS(E_F): 2.37 states/eV/f.u.

The structure in POSCAR format:
```
MgInAs2
1.0
4.834 -0.325 0.937
1.561 -1.816 4.315
2.189 -4.420 0.170
As In Mg
2 1 1
direct
0.250 0.250 0.250
0.750 0.750 0.750
0.500 0.500 0.500
0.000 0.000 0.000
```

---

No. 20
A geometry-optimized MgIn2As structure, computed with PBE-GGA.

space-group type: P2/m, No. 10
volume: 97 Å³ per cell
E_tot: -2.905 eV/atom
DOS(E_F): 1.48 states/eV/f.u.
ΔE to the lowest computed polymorph: 0.62 eV per formula unit

The structure in POSCAR format:
```
MgIn2As
1.0
5.791 0.000 0.000
0.000 3.339 -0.229
0.000 0.479 4.980
As In Mg
1 2 1
direct
0.500 0.750 0.750
0.000 0.988 0.996
0.000 0.512 0.504
0.500 0.250 0.250
```